A plane-wave DFT calculation with PBE was carried out for a relaxed structure of Zr10Sn7.

abc: 8.6932 8.6932 5.9340
angles: 90.00 90.00 120.00
Fractional positions:
1 Zr 0.0000 0.2687 0.2683
2 Zr 0.0000 0.7313 0.7317
3 Zr 0.2687 0.0000 0.2683
4 Zr 0.2687 0.2687 0.7317
5 Zr 0.3333 0.6667 0.0000
6 Zr 0.3333 0.6667 0.5000
7 Zr 0.6667 0.3333 0.0000
8 Zr 0.6667 0.3333 0.5000
9 Zr 0.7313 0.0000 0.7317
10 Zr 0.7313 0.7313 0.2683
11 Sn 0.0000 0.0000 0.0000
12 Sn 0.0000 0.3865 0.7579
13 Sn 0.0000 0.6135 0.2421
14 Sn 0.3865 0.0000 0.7579
15 Sn 0.3865 0.3865 0.2421
16 Sn 0.6135 0.0000 0.2421
17 Sn 0.6135 0.6135 0.7579

Values from the calculation:
E_form	-576	meV/atom
space-group type	P-31m
N(E_F)	12.0	states/eV/cell
crystal system	trigonal

=====

A plane-wave DFT calculation with PBE was carried out for a relaxed structure of ZrSn.

abc: 7.4396 4.3298 5.7667
angles: 90.00 90.00 90.00
Fractional positions:
1 Zr 0.1805 0.2500 0.1417
2 Zr 0.3195 0.7500 0.6417
3 Zr 0.6805 0.2500 0.3583
4 Zr 0.8195 0.7500 0.8583
5 Sn 0.0490 0.2500 0.6668
6 Sn 0.4510 0.7500 0.1668
7 Sn 0.5490 0.2500 0.8332
8 Sn 0.9510 0.7500 0.3332

Values from the calculation:
E_form	-452	meV/atom
space-group type	Pnma
N(E_F)	0.7	states/eV/cell
crystal system	orthorhombic

=====

A plane-wave DFT calculation with PBE was carried out for a relaxed structure of ZrSn.

abc: 5.3135 12.5839 5.5731
angles: 90.00 90.00 90.00
Fractional positions:
1 Zr 0.2500 0.1241 0.1602
2 Zr 0.2500 0.2500 0.6563
3 Zr 0.2500 0.3759 0.1602
4 Zr 0.2500 0.7500 0.6835
5 Zr 0.7500 0.2500 0.3165
6 Zr 0.7500 0.6241 0.8398
7 Zr 0.7500 0.7500 0.3437
8 Zr 0.7500 0.8759 0.8398
9 Sn 0.2500 0.5006 0.6581
10 Sn 0.2500 0.6281 0.1697
11 Sn 0.2500 0.8719 0.1697
12 Sn 0.2500 0.9994 0.6581
13 Sn 0.7500 0.0006 0.3419
14 Sn 0.7500 0.1281 0.8303
15 Sn 0.7500 0.3719 0.8303
16 Sn 0.7500 0.4994 0.3419

Values from the calculation:
E_form	-203	meV/atom
space-group type	Pmmn
N(E_F)	12.6	states/eV/cell
crystal system	orthorhombic

=====

A plane-wave DFT calculation with PBE was carried out for a relaxed structure of ZrSn3.

abc: 7.4201 7.4201 7.4201
angles: 90.00 90.00 90.00
Fractional positions:
1 Zr 0.0000 0.0000 0.0000
2 Zr 0.0000 0.5000 0.5000
3 Zr 0.5000 0.0000 0.5000
4 Zr 0.5000 0.5000 0.0000
5 Sn 0.0000 0.0000 0.5000
6 Sn 0.0000 0.5000 0.0000
7 Sn 0.2500 0.2500 0.2500
8 Sn 0.2500 0.2500 0.7500
9 Sn 0.2500 0.7500 0.2500
10 Sn 0.2500 0.7500 0.7500
11 Sn 0.5000 0.0000 0.0000
12 Sn 0.5000 0.5000 0.5000
13 Sn 0.7500 0.2500 0.2500
14 Sn 0.7500 0.2500 0.7500
15 Sn 0.7500 0.7500 0.2500
16 Sn 0.7500 0.7500 0.7500

Values from the calculation:
E_form	119	meV/atom
space-group type	Fm-3m
N(E_F)	19.5	states/eV/cell
crystal system	cubic

=====

A plane-wave DFT calculation with PBE was carried out for a relaxed structure of ZrSn.

abc: 5.3223 9.5935 5.4718
angles: 90.00 90.00 90.00
Fractional positions:
1 Zr 0.0000 0.0808 0.0000
2 Zr 0.0000 0.4120 0.0539
3 Zr 0.0000 0.5880 0.5539
4 Zr 0.0000 0.9192 0.5000
5 Zr 0.5000 0.0942 0.4376
6 Zr 0.5000 0.9058 0.9376
7 Sn 0.0000 0.2470 0.5312
8 Sn 0.0000 0.7530 0.0312
9 Sn 0.5000 0.2241 0.9324
10 Sn 0.5000 0.4350 0.3732
11 Sn 0.5000 0.5650 0.8732
12 Sn 0.5000 0.7759 0.4324

Values from the calculation:
E_form	-291	meV/atom
space-group type	Pmc2_1
N(E_F)	9.9	states/eV/cell
crystal system	orthorhombic

=====

A plane-wave DFT calculation with PBE was carried out for a relaxed structure of ZrSn.

abc: 3.1040 5.1301 12.3716
angles: 90.00 90.00 90.00
Fractional positions:
1 Zr 0.2500 0.2500 0.0412
2 Zr 0.2500 0.7500 0.2020
3 Zr 0.7500 0.2500 0.7980
4 Zr 0.7500 0.7500 0.9588
5 Sn 0.2500 0.2500 0.5667
6 Sn 0.2500 0.7500 0.7372
7 Sn 0.7500 0.2500 0.2628
8 Sn 0.7500 0.7500 0.4333

Values from the calculation:
E_form	-129	meV/atom
space-group type	Pmmn
N(E_F)	7.1	states/eV/cell
crystal system	orthorhombic

=====

A plane-wave DFT calculation with PBE was carried out for a relaxed structure of ZrSn3.

abc: 3.3262 10.6629 5.4800
angles: 90.00 90.00 90.00
Fractional positions:
1 Zr 0.0000 0.0000 0.0000
2 Zr 0.5000 0.5000 0.5000
3 Sn 0.0000 0.2618 0.6643
4 Sn 0.0000 0.5000 0.0154
5 Sn 0.0000 0.7382 0.6643
6 Sn 0.5000 0.0000 0.5154
7 Sn 0.5000 0.2382 0.1643
8 Sn 0.5000 0.7618 0.1643

Values from the calculation:
E_form	-158	meV/atom
space-group type	Imm2
N(E_F)	3.6	states/eV/cell
crystal system	orthorhombic

=====

A plane-wave DFT calculation with PBE was carried out for a relaxed structure of ZrSn.

abc: 6.8182 15.5123 5.2813
angles: 90.00 90.00 90.00
Fractional positions:
1 Zr 0.1209 0.1551 0.2500
2 Zr 0.1209 0.3449 0.7500
3 Zr 0.3708 0.6616 0.2500
4 Zr 0.3708 0.8384 0.7500
5 Zr 0.3765 0.1704 0.7500
6 Zr 0.3765 0.3296 0.2500
7 Zr 0.6235 0.6704 0.7500
8 Zr 0.6235 0.8296 0.2500
9 Zr 0.6292 0.1616 0.2500
10 Zr 0.6292 0.3384 0.7500
11 Zr 0.8791 0.6551 0.2500
12 Zr 0.8791 0.8449 0.7500
13 Sn 0.1192 0.6803 0.7500
14 Sn 0.1192 0.8197 0.2500
15 Sn 0.1287 0.0072 0.7500
16 Sn 0.1287 0.4928 0.2500
17 Sn 0.3806 0.5029 0.7500
18 Sn 0.3806 0.9971 0.2500
19 Sn 0.6194 0.0029 0.7500
20 Sn 0.6194 0.4971 0.2500
21 Sn 0.8713 0.5072 0.7500
22 Sn 0.8713 0.9928 0.2500
23 Sn 0.8808 0.1803 0.7500
24 Sn 0.8808 0.3197 0.2500

Values from the calculation:
E_form	-246	meV/atom
space-group type	Pbcm
N(E_F)	20.5	states/eV/cell
crystal system	orthorhombic

=====

A plane-wave DFT calculation with PBE was carried out for a relaxed structure of ZrSn.

abc: 5.2111 9.5547 5.6289
angles: 90.00 90.00 90.00
Fractional positions:
1 Zr 0.0000 0.0604 0.0000
2 Zr 0.0000 0.2623 0.4300
3 Zr 0.0000 0.7377 0.9300
4 Zr 0.0000 0.9396 0.5000
5 Zr 0.5000 0.2361 0.8093
6 Zr 0.5000 0.7639 0.3093
7 Sn 0.0000 0.3882 0.9203
8 Sn 0.0000 0.6118 0.4203
9 Sn 0.5000 0.0902 0.3085
10 Sn 0.5000 0.4354 0.4019
11 Sn 0.5000 0.5646 0.9019
12 Sn 0.5000 0.9098 0.8085

Values from the calculation:
E_form	-288	meV/atom
space-group type	Pmc2_1
N(E_F)	11.0	states/eV/cell
crystal system	orthorhombic

=====

A plane-wave DFT calculation with PBE was carried out for a relaxed structure of ZrSn.

abc: 11.0708 11.0708 3.2667
angles: 90.00 90.00 90.00
Fractional positions:
1 Zr 0.1072 0.6444 0.0000
2 Zr 0.1444 0.3928 0.5000
3 Zr 0.3556 0.1072 0.0000
4 Zr 0.3928 0.8556 0.5000
5 Zr 0.6072 0.1444 0.5000
6 Zr 0.6444 0.8928 0.0000
7 Zr 0.8556 0.6072 0.5000
8 Zr 0.8928 0.3556 0.0000
9 Sn 0.0905 0.1708 0.0000
10 Sn 0.1708 0.9095 0.0000
11 Sn 0.3292 0.5905 0.5000
12 Sn 0.4095 0.3292 0.5000
13 Sn 0.5905 0.6708 0.5000
14 Sn 0.6708 0.4095 0.5000
15 Sn 0.8292 0.0905 0.0000
16 Sn 0.9095 0.8292 0.0000

Values from the calculation:
E_form	-117	meV/atom
space-group type	I4/m
N(E_F)	14.0	states/eV/cell
crystal system	tetragonal

=====

A plane-wave DFT calculation with PBE was carried out for a relaxed structure of Zr3Sn.

abc: 6.3199 6.3199 5.1817
angles: 90.00 90.00 120.00
Fractional positions:
1 Zr 0.1676 0.3352 0.2500
2 Zr 0.1676 0.8324 0.2500
3 Zr 0.3352 0.1676 0.7500
4 Zr 0.6648 0.8324 0.2500
5 Zr 0.8324 0.1676 0.7500
6 Zr 0.8324 0.6648 0.7500
7 Sn 0.3333 0.6667 0.7500
8 Sn 0.6667 0.3333 0.2500

Values from the calculation:
E_form	-360	meV/atom
space-group type	P6_3/mmc
N(E_F)	7.2	states/eV/cell
crystal system	hexagonal

=====

A plane-wave DFT calculation with PBE was carried out for a relaxed structure of ZrSn.

abc: 5.8370 10.9321 5.9206
angles: 90.00 90.00 90.00
Fractional positions:
1 Zr 0.0993 0.1244 0.1061
2 Zr 0.0993 0.3756 0.6061
3 Zr 0.4007 0.6244 0.1061
4 Zr 0.4007 0.8756 0.6061
5 Zr 0.5993 0.1244 0.3939
6 Zr 0.5993 0.3756 0.8939
7 Zr 0.9007 0.6244 0.3939
8 Zr 0.9007 0.8756 0.8939
9 Sn 0.1122 0.1090 0.6071
10 Sn 0.1122 0.3910 0.1071
11 Sn 0.3878 0.6090 0.6071
12 Sn 0.3878 0.8910 0.1071
13 Sn 0.6122 0.1090 0.8929
14 Sn 0.6122 0.3910 0.3929
15 Sn 0.8878 0.6090 0.8929
16 Sn 0.8878 0.8910 0.3929

Values from the calculation:
E_form	-365	meV/atom
space-group type	Pbca
N(E_F)	10.3	states/eV/cell
crystal system	orthorhombic

=====

A plane-wave DFT calculation with PBE was carried out for a relaxed structure of ZrSn3.

abc: 3.8238 5.0974 5.0051
angles: 90.00 90.00 90.00
Fractional positions:
1 Zr 0.0000 0.0000 0.0000
2 Sn 0.0000 0.5000 0.5897
3 Sn 0.5000 0.0000 0.5141
4 Sn 0.5000 0.5000 0.0965

Values from the calculation:
E_form	-100	meV/atom
space-group type	Pmm2
N(E_F)	2.5	states/eV/cell
crystal system	orthorhombic

=====

A plane-wave DFT calculation with PBE was carried out for a relaxed structure of Zr3Sn.

abc: 3.2431 10.2312 5.4883
angles: 90.00 90.00 90.00
Fractional positions:
1 Zr 0.0000 0.0000 0.0000
2 Zr 0.0000 0.2425 0.6650
3 Zr 0.0000 0.7575 0.6650
4 Zr 0.5000 0.2575 0.1650
5 Zr 0.5000 0.5000 0.5000
6 Zr 0.5000 0.7425 0.1650
7 Sn 0.0000 0.5000 0.9874
8 Sn 0.5000 0.0000 0.4874

Values from the calculation:
E_form	-257	meV/atom
space-group type	Imm2
N(E_F)	9.2	states/eV/cell
crystal system	orthorhombic

=====

A plane-wave DFT calculation with PBE was carried out for a relaxed structure of ZrSn.

abc: 8.0598 8.0598 8.0598
angles: 90.00 90.00 90.00
Fractional positions:
1 Zr 0.0000 0.2500 0.5000
2 Zr 0.0000 0.7500 0.5000
3 Zr 0.2500 0.5000 0.0000
4 Zr 0.5000 0.0000 0.2500
5 Zr 0.5000 0.0000 0.7500
6 Zr 0.7500 0.5000 0.0000
7 Sn 0.0000 0.5000 0.2500
8 Sn 0.0000 0.5000 0.7500
9 Sn 0.2500 0.0000 0.5000
10 Sn 0.5000 0.2500 0.0000
11 Sn 0.5000 0.7500 0.0000
12 Sn 0.7500 0.0000 0.5000

Values from the calculation:
E_form	660	meV/atom
space-group type	Pm-3n
N(E_F)	4.9	states/eV/cell
crystal system	cubic

=====

A plane-wave DFT calculation with PBE was carried out for a relaxed structure of ZrSn.

abc: 5.3194 5.9657 11.7288
angles: 90.00 90.00 90.00
Fractional positions:
1 Zr 0.2500 0.0011 0.0732
2 Zr 0.2500 0.4989 0.0732
3 Zr 0.2500 0.7500 0.3283
4 Zr 0.2500 0.7500 0.8030
5 Zr 0.7500 0.2500 0.1970
6 Zr 0.7500 0.2500 0.6717
7 Zr 0.7500 0.5011 0.9268
8 Zr 0.7500 0.9989 0.9268
9 Sn 0.2500 0.0040 0.5678
10 Sn 0.2500 0.2500 0.3000
11 Sn 0.2500 0.2500 0.8457
12 Sn 0.2500 0.4960 0.5678
13 Sn 0.7500 0.5040 0.4322
14 Sn 0.7500 0.7500 0.1543
15 Sn 0.7500 0.7500 0.7000
16 Sn 0.7500 0.9960 0.4322

Values from the calculation:
E_form	-303	meV/atom
space-group type	Pmmn
N(E_F)	14.1	states/eV/cell
crystal system	orthorhombic

=====

A plane-wave DFT calculation with PBE was carried out for a relaxed structure of ZrSn.

abc: 6.1125 5.4962 8.5020
angles: 90.00 97.75 90.00
Fractional positions:
1 Zr 0.0826 0.2500 0.0853
2 Zr 0.2302 0.2500 0.7325
3 Zr 0.4153 0.7500 0.8971
4 Zr 0.5847 0.2500 0.1029
5 Zr 0.7698 0.7500 0.2675
6 Zr 0.9174 0.7500 0.9147
7 Sn 0.0806 0.7500 0.5894
8 Sn 0.2578 0.7500 0.2078
9 Sn 0.4259 0.2500 0.4154
10 Sn 0.5741 0.7500 0.5846
11 Sn 0.7422 0.2500 0.7922
12 Sn 0.9194 0.2500 0.4106

Values from the calculation:
E_form	-263	meV/atom
space-group type	P2_1/m
N(E_F)	11.1	states/eV/cell
crystal system	monoclinic

=====

A plane-wave DFT calculation with PBE was carried out for a relaxed structure of Zr3Sn.

abc: 5.6409 5.6409 5.6409
angles: 90.00 90.00 90.00
Fractional positions:
1 Zr 0.0000 0.2500 0.5000
2 Zr 0.0000 0.7500 0.5000
3 Zr 0.2500 0.5000 0.0000
4 Zr 0.5000 0.0000 0.2500
5 Zr 0.5000 0.0000 0.7500
6 Zr 0.7500 0.5000 0.0000
7 Sn 0.0000 0.0000 0.0000
8 Sn 0.5000 0.5000 0.5000

Values from the calculation:
E_form	-366	meV/atom
space-group type	Pm-3n
N(E_F)	9.8	states/eV/cell
crystal system	cubic

=====

A plane-wave DFT calculation with PBE was carried out for a relaxed structure of ZrSn.

abc: 3.9412 3.9412 6.0263
angles: 90.00 90.00 90.00
Fractional positions:
1 Zr 0.2500 0.2500 0.1280
2 Zr 0.7500 0.7500 0.8720
3 Sn 0.2500 0.2500 0.6413
4 Sn 0.7500 0.7500 0.3587

Values from the calculation:
E_form	-381	meV/atom
space-group type	P4/nmm
N(E_F)	2.9	states/eV/cell
crystal system	tetragonal

=====

A plane-wave DFT calculation with PBE was carried out for a relaxed structure of Zr5Sn.

abc: 5.5497 5.5497 5.1583
angles: 90.00 90.00 120.00
Fractional positions:
1 Zr 0.0000 0.3227 0.0000
2 Zr 0.3227 0.0000 0.0000
3 Zr 0.3333 0.6667 0.5000
4 Zr 0.6667 0.3333 0.5000
5 Zr 0.6773 0.6773 0.0000
6 Sn 0.0000 0.0000 0.5000

Values from the calculation:
E_form	-185	meV/atom
space-group type	P-62m
N(E_F)	6.7	states/eV/cell
crystal system	hexagonal

=====

A plane-wave DFT calculation with PBE was carried out for a relaxed structure of Zr5Sn.

abc: 4.3994 14.1594 4.3804
angles: 90.00 90.00 90.00
Fractional positions:
1 Zr 0.0000 0.0000 0.0000
2 Zr 0.0000 0.1674 0.5000
3 Zr 0.0000 0.3329 0.0000
4 Zr 0.0000 0.6671 0.0000
5 Zr 0.0000 0.8326 0.5000
6 Zr 0.5000 0.1671 0.0000
7 Zr 0.5000 0.3326 0.5000
8 Zr 0.5000 0.5000 0.0000
9 Zr 0.5000 0.6674 0.5000
10 Zr 0.5000 0.8329 0.0000
11 Sn 0.0000 0.5000 0.5000
12 Sn 0.5000 0.0000 0.5000

Values from the calculation:
E_form	-236	meV/atom
space-group type	Cmmm
N(E_F)	13.0	states/eV/cell
crystal system	orthorhombic